[1]
## ThZnSnRh3 (GGA-PBE)

Data for a geometry-optimized ThZnSnRh3 structure.

Cell and atoms, written as POSCAR:
```
ThZnSnRh3
1.0
-5.057 1.292 3.674
0.072 -5.495 2.031
3.792 4.515 3.632
Rh Zn Th Sn
6 2 2 2
direct
0.000 0.741 0.000
0.500 0.259 0.000
0.000 0.259 0.000
0.750 0.844 0.689
0.500 0.741 0.000
0.250 0.156 0.311
0.750 0.093 0.186
0.250 0.907 0.814
0.250 0.664 0.327
0.750 0.336 0.673
0.250 0.363 0.726
0.750 0.637 0.274
```

Summary:
Formation energy = -0.44 eV/atom
Crystal system = orthorhombic



[2]
## La3AlP (GGA-PBE)

Data for a geometry-optimized La3AlP structure.

Cell and atoms, written as POSCAR:
```
La3AlP
1.0
5.568 0.000 0.000
0.000 5.568 0.000
0.000 0.000 5.568
La P Al
3 1 1
direct
0.000 0.500 0.000
0.000 0.000 0.500
0.500 0.000 0.000
0.000 0.000 0.000
0.500 0.500 0.500
```

Summary:
Distance to the lowest polymorph of the same formula = 0.000 eV per atom
Formation energy = -0.54 eV/atom
Crystal system = cubic



[3]
## KBaRe (GGA-PBE)

Data for a geometry-optimized KBaRe structure.

Cell and atoms, written as POSCAR:
```
KBaRe
1.0
-2.550 0.447 5.117
2.466 -4.939 -1.553
2.532 0.892 1.184
Ba Re K
1 1 1
direct
0.000 0.000 0.167
0.333 0.667 0.666
0.667 0.333 0.167
```

Summary:
Distance to the lowest polymorph of the same formula = 0.019 eV per atom
Formation energy = 1.46 eV/atom
Crystal system = hexagonal



[4]
## Cd4AgPt (GGA-PBE)

Data for a geometry-optimized Cd4AgPt structure.

Cell and atoms, written as POSCAR:
```
Cd4AgPt
1.0
-1.137 3.427 4.223
1.804 5.254 -0.123
-3.614 4.163 -0.696
Cd Ag Pt
4 1 1
direct
0.375 0.375 0.375
0.874 0.375 0.375
0.375 0.874 0.375
0.375 0.375 0.874
0.000 0.000 0.000
0.750 0.750 0.750
```

Summary:
Distance to the lowest polymorph of the same formula = 0.263 eV per atom
Formation energy = 0.15 eV/atom
Crystal system = cubic



[5]
## TbSn5 (GGA-PBE)

Data for a geometry-optimized TbSn5 structure.

Cell and atoms, written as POSCAR:
```
TbSn5
1.0
4.286 0.367 0.000
-0.572 6.679 0.000
0.000 0.000 11.049
Sn Tb
10 2
direct
0.250 0.364 0.069
0.750 0.636 0.569
0.250 0.879 0.098
0.750 0.121 0.902
0.250 0.882 0.750
0.750 0.636 0.931
0.750 0.121 0.598
0.250 0.364 0.431
0.250 0.879 0.402
0.750 0.118 0.250
0.250 0.397 0.750
0.750 0.603 0.250
```

Summary:
Distance to the lowest polymorph of the same formula = 0.000 eV per atom
Formation energy = -0.25 eV/atom
Crystal system = orthorhombic



[6]
## Cs3Sr2I5Cl2 (GGA-PBE)

Data for a geometry-optimized Cs3Sr2I5Cl2 structure.

Cell and atoms, written as POSCAR:
```
Cs3Sr2I5Cl2
1.0
6.511 0.000 0.000
0.000 6.511 0.000
-3.255 -3.255 14.970
I Cl Cs Sr
5 2 3 2
direct
0.103 0.603 0.206
0.897 0.397 0.794
0.500 0.500 0.000
0.397 0.897 0.794
0.603 0.103 0.206
0.703 0.703 0.406
0.297 0.297 0.594
0.186 0.186 0.371
0.000 0.000 0.000
0.814 0.814 0.629
0.390 0.390 0.779
0.610 0.610 0.221
```

Summary:
Crystal system = tetragonal



Listing uncorrected energy for the structures above in their given order: -6.233, -5.323, -3.691, -1.946, -4.361, -3.213 eV/atom.
Listing DOS(E_F) for the structures above in their given order: 0.605, 0.709, 1.376, 0.295, 0.634, 0.000 states/eV per atom.